(1)
# LaPr2Nd6Tm PBE-GGA optimized geometry
data_LaPr2Nd6Tm
_chemical_formula_sum 'La4 Pr8 Nd24 Tm4'
_space_group_name_H-M_alt 'C 1 2/c 1'
_space_group_IT_number 15
_cell_length_a 9.3284
_cell_length_b 15.4544
_cell_length_c 9.9232
_cell_angle_alpha 90.00
_cell_angle_beta 97.86
_cell_angle_gamma 90.00
loop_
_space_group_symop_operation_xyz
'x,y,z'
'-x,-y,-z'
'-x,y,-z+1/2'
'x,-y,z+1/2'
'x+1/2,y+1/2,z'
'-x+1/2,-y+1/2,-z'
'-x+1/2,y+1/2,-z+1/2'
'x+1/2,-y+1/2,z+1/2'
loop_
_atom_site_label
_atom_site_type_symbol
_atom_site_fract_x
_atom_site_fract_y
_atom_site_fract_z
La1 La 0.0000 0.0188 0.2500
Pr1 Pr 0.2473 0.0502 0.5442
Nd1 Nd 0.0669 0.1877 0.9449
Nd2 Nd 0.0984 0.3947 0.1180
Nd3 Nd 0.2092 0.2221 0.3114
Tm1 Tm 0.0000 0.4090 0.7500
# E in eV per atom: -4.65
# E_form in kJ per mole of atoms: 10.5
# Total magnetic moment in μB per formula unit: 0.0

***

(2)
# SmScAgSn PBE-GGA optimized geometry
data_SmScAgSn
_chemical_formula_sum 'Sm4 Sc4 Ag4 Sn4'
_space_group_name_H-M_alt 'F -4 3 m'
_space_group_IT_number 216
_space_group_name_Hall 'F -4 2 3'
_cell_length_a 7.2859
_cell_length_b 7.2859
_cell_length_c 7.2859
_cell_angle_alpha 90.00
_cell_angle_beta 90.00
_cell_angle_gamma 90.00
loop_
_atom_site_label
_atom_site_type_symbol
_atom_site_fract_x
_atom_site_fract_y
_atom_site_fract_z
Sm1 Sm 0.0000 0.0000 0.0000
Sc1 Sc 0.0000 0.0000 0.5000
Ag1 Ag 0.2500 0.2500 0.7500
Sn1 Sn 0.2500 0.2500 0.2500
# E in eV per atom: -4.95
# E_form in kJ per mole of atoms: -45.7
# Total magnetic moment in μB per formula unit: 0.7